1.
A geometry-optimized K4TiO4 structure, computed with PBEsol.

Summary:
As for the energy above the most stable polymorph in this dataset: 0.00 eV/f.u. The size of the total moment is 0.003 μB per cell.

Structure (CIF):
```
data_K4TiO4
_chemical_formula_sum 'K8 Ti2 O8'
_space_group_name_H-M_alt 'P -1'
_space_group_IT_number 2
_cell_length_a 6.344
_cell_length_b 6.388
_cell_length_c 9.484
_cell_angle_alpha 72.17
_cell_angle_beta 79.99
_cell_angle_gamma 67.00
loop_
_space_group_symop_operation_xyz
'x,y,z'
'-x,-y,-z'
loop_
_atom_site_label
_atom_site_type_symbol
_atom_site_fract_x
_atom_site_fract_y
_atom_site_fract_z
K1 K 0.224 0.461 0.119
K2 K 0.247 0.917 0.338
K3 K 0.249 0.269 0.529
K4 K 0.276 0.013 0.938
Ti1 Ti 0.272 0.657 0.747
O1 O 0.045 0.789 0.877
O2 O 0.125 0.668 0.594
O3 O 0.449 0.356 0.845
O4 O 0.453 0.837 0.691
```

***

2.
A geometry-optimized K3Ti8O17 structure, computed with PBEsol.

Summary:
The size of the total moment is 1.849 μB per cell.

Structure (CIF):
```
data_K3Ti8O17
_chemical_formula_sum 'K6 Ti16 O34'
_space_group_name_H-M_alt 'P -1'
_space_group_IT_number 2
_cell_length_a 7.619
_cell_length_b 8.002
_cell_length_c 12.018
_cell_angle_alpha 94.78
_cell_angle_beta 90.00
_cell_angle_gamma 103.76
loop_
_space_group_symop_operation_xyz
'x,y,z'
'-x,-y,-z'
loop_
_atom_site_label
_atom_site_type_symbol
_atom_site_fract_x
_atom_site_fract_y
_atom_site_fract_z
K1 K 0.220 0.382 0.160
K2 K 0.244 0.476 0.447
K3 K 0.278 0.613 0.821
Ti1 Ti 0.057 0.723 0.071
Ti2 Ti 0.075 0.802 0.325
Ti3 Ti 0.100 0.896 0.577
Ti4 Ti 0.122 0.988 0.830
Ti5 Ti 0.378 0.012 0.170
Ti6 Ti 0.402 0.104 0.422
Ti7 Ti 0.424 0.198 0.675
Ti8 Ti 0.445 0.277 0.929
O1 O 0.000 0.500 0.000
O2 O 0.035 0.621 0.226
O3 O 0.053 0.713 0.465
O4 O 0.070 0.801 0.709
O5 O 0.087 0.846 0.938
O6 O 0.113 0.954 0.184
O7 O 0.137 0.049 0.433
O8 O 0.158 0.132 0.675
O9 O 0.183 0.232 0.910
O10 O 0.318 0.771 0.089
O11 O 0.342 0.869 0.326
O12 O 0.363 0.952 0.568
O13 O 0.386 0.045 0.815
O14 O 0.414 0.155 0.062
O15 O 0.419 0.200 0.291
O16 O 0.446 0.287 0.535
O17 O 0.474 0.379 0.774
O18 O 0.500 0.500 0.000
```

***

3.
A geometry-optimized KTi16O32 structure, computed with PBEsol.

Summary:
The size of the total moment is 0.001 μB per cell.

Structure (CIF):
```
data_KTi16O32
_chemical_formula_sum 'K1 Ti16 O32'
_space_group_name_H-M_alt 'P -1'
_space_group_IT_number 2
_cell_length_a 8.440
_cell_length_b 8.441
_cell_length_c 10.301
_cell_angle_alpha 112.09
_cell_angle_beta 102.59
_cell_angle_gamma 105.96
loop_
_space_group_symop_operation_xyz
'x,y,z'
'-x,-y,-z'
loop_
_atom_site_label
_atom_site_type_symbol
_atom_site_fract_x
_atom_site_fract_y
_atom_site_fract_z
K1 K 0.000 0.000 0.000
Ti1 Ti 0.025 0.182 0.494
Ti2 Ti 0.040 0.469 0.858
Ti3 Ti 0.209 0.526 0.389
Ti4 Ti 0.230 0.812 0.749
Ti5 Ti 0.272 0.180 0.745
Ti6 Ti 0.297 0.480 0.110
Ti7 Ti 0.460 0.527 0.640
Ti8 Ti 0.478 0.820 0.006
O1 O 0.043 0.625 0.750
O2 O 0.044 0.362 0.992
O3 O 0.083 0.949 0.722
O4 O 0.097 0.295 0.719
O5 O 0.152 0.704 0.530
O6 O 0.167 0.050 0.531
O7 O 0.207 0.637 0.258
O8 O 0.208 0.378 0.502
O9 O 0.291 0.361 0.240
O10 O 0.293 0.623 0.997
O11 O 0.331 0.949 0.969
O12 O 0.345 0.294 0.969
O13 O 0.405 0.706 0.781
O14 O 0.417 0.050 0.780
O15 O 0.456 0.636 0.507
O16 O 0.457 0.377 0.752
```

***

4.
A geometry-optimized K6Ti2O7 structure, computed with PBEsol.

Summary:
The size of the total moment is 0.008 μB per cell.

Structure (CIF):
```
data_K6Ti2O7
_chemical_formula_sum 'K12 Ti4 O14'
_space_group_name_H-M_alt 'P 1 21/c 1'
_space_group_IT_number 14
_cell_length_a 6.523
_cell_length_b 9.231
_cell_length_c 11.288
_cell_angle_alpha 90.00
_cell_angle_beta 123.32
_cell_angle_gamma 90.00
loop_
_space_group_symop_operation_xyz
'x,y,z'
'-x,-y,-z'
'-x,y+1/2,-z+1/2'
'x,-y+1/2,z+1/2'
loop_
_atom_site_label
_atom_site_type_symbol
_atom_site_fract_x
_atom_site_fract_y
_atom_site_fract_z
K1 K 0.060 0.157 0.434
K2 K 0.206 0.528 0.456
K3 K 0.410 0.203 0.280
Ti1 Ti 0.308 0.645 0.867
O1 O 0.034 0.677 0.867
O2 O 0.234 0.598 0.693
O3 O 0.498 0.197 0.073
O4 O 0.500 0.000 0.500
```

***

5.
A geometry-optimized KTlO2 structure, computed with PBEsol.

Summary:
The size of the total moment is 0.001 μB per cell.

Structure (CIF):
```
data_KTlO2
_chemical_formula_sum 'K3 Tl3 O6'
_space_group_name_H-M_alt 'R -3 m'
_space_group_IT_number 166
_space_group_name_Hall '-R 3 2"'
_cell_length_a 3.4450
_cell_length_b 3.4450
_cell_length_c 18.2203
_cell_angle_alpha 90.00
_cell_angle_beta 90.00
_cell_angle_gamma 120.00
loop_
_atom_site_label
_atom_site_type_symbol
_atom_site_fract_x
_atom_site_fract_y
_atom_site_fract_z
K1 K 0.0000 0.0000 0.0000
Tl1 Tl 0.0000 0.0000 0.5000
O1 O 0.0000 0.0000 0.2325
```

***

6.
A geometry-optimized K3TlO structure, computed with PBEsol.

Summary:
The size of the total moment is 1.696 μB per cell.

Structure (CIF):
```
data_K3TlO
_chemical_formula_sum 'K3 Tl1 O1'
_space_group_name_H-M_alt 'P m -3 m'
_space_group_IT_number 221
_space_group_name_Hall '-P 4 2 3'
_cell_length_a 6.499
_cell_length_b 6.499
_cell_length_c 6.499
_cell_angle_alpha 90.00
_cell_angle_beta 90.00
_cell_angle_gamma 90.00
loop_
_atom_site_label
_atom_site_type_symbol
_atom_site_fract_x
_atom_site_fract_y
_atom_site_fract_z
K1 K 0.000 0.000 0.500
Tl1 Tl 0.000 0.000 0.000
O1 O 0.500 0.500 0.500
```

***

7.
A geometry-optimized K5Tl3O structure, computed with PBEsol.

Summary:
The size of the total moment is 0.000 μB per cell.

Structure (CIF):
```
data_K5Tl3O
_chemical_formula_sum 'K40 Tl24 O8'
_space_group_name_H-M_alt 'C m c m'
_space_group_IT_number 63
_space_group_name_Hall '-C 2c 2'
_cell_length_a 8.301
_cell_length_b 32.887
_cell_length_c 8.723
_cell_angle_alpha 90.00
_cell_angle_beta 90.00
_cell_angle_gamma 90.00
loop_
_atom_site_label
_atom_site_type_symbol
_atom_site_fract_x
_atom_site_fract_y
_atom_site_fract_z
K1 K 0.000 0.050 0.033
K2 K 0.000 0.180 0.035
K3 K 0.201 0.493 0.250
K4 K 0.222 0.234 0.750
K5 K 0.246 0.371 0.250
Tl1 Tl 0.000 0.316 0.557
Tl2 Tl 0.000 0.424 0.536
Tl3 Tl 0.212 0.375 0.750
O1 O 0.000 0.010 0.750
O2 O 0.000 0.177 0.750
```

***

8.
A geometry-optimized KTlO2 structure, computed with PBEsol.

Summary:
The size of the total moment is 0.000 μB per cell.

Structure (CIF):
```
data_KTlO2
_chemical_formula_sum 'K4 Tl4 O8'
_space_group_name_H-M_alt 'F m -3 m'
_space_group_IT_number 225
_space_group_name_Hall '-F 4 2 3'
_cell_length_a 6.052
_cell_length_b 6.052
_cell_length_c 6.052
_cell_angle_alpha 90.00
_cell_angle_beta 90.00
_cell_angle_gamma 90.00
loop_
_atom_site_label
_atom_site_type_symbol
_atom_site_fract_x
_atom_site_fract_y
_atom_site_fract_z
K1 K 0.000 0.000 0.000
Tl1 Tl 0.000 0.000 0.500
O1 O 0.250 0.250 0.250
```

***

9.
A geometry-optimized KTl3O structure, computed with PBEsol.

Summary:
The size of the total moment is 0.000 μB per cell.

Structure (CIF):
```
data_KTl3O
_chemical_formula_sum 'K1 Tl3 O1'
_space_group_name_H-M_alt 'P m -3 m'
_space_group_IT_number 221
_space_group_name_Hall '-P 4 2 3'
_cell_length_a 5.175
_cell_length_b 5.175
_cell_length_c 5.175
_cell_angle_alpha 90.00
_cell_angle_beta 90.00
_cell_angle_gamma 90.00
loop_
_atom_site_label
_atom_site_type_symbol
_atom_site_fract_x
_atom_site_fract_y
_atom_site_fract_z
K1 K 0.000 0.000 0.000
Tl1 Tl 0.000 0.500 0.500
O1 O 0.500 0.500 0.500
```

***

10.
A geometry-optimized KTmO2 structure, computed with PBEsol.

Summary:
The size of the total moment is 0.002 μB per cell.

Structure (CIF):
```
data_KTmO2
_chemical_formula_sum 'K3 Tm3 O6'
_space_group_name_H-M_alt 'R -3 m'
_space_group_IT_number 166
_space_group_name_Hall '-R 3 2"'
_cell_length_a 3.3754
_cell_length_b 3.3754
_cell_length_c 18.4202
_cell_angle_alpha 90.00
_cell_angle_beta 90.00
_cell_angle_gamma 120.00
loop_
_atom_site_label
_atom_site_type_symbol
_atom_site_fract_x
_atom_site_fract_y
_atom_site_fract_z
K1 K 0.0000 0.0000 0.0000
Tm1 Tm 0.0000 0.0000 0.5000
O1 O 0.0000 0.0000 0.2281
```

***

11.
A geometry-optimized K2U2O7 structure, computed with PBEsol.

Summary:
The size of the total moment is 0.000 μB per cell.

Structure (CIF):
```
data_K2U2O7
_chemical_formula_sum 'K4 U4 O14'
_space_group_name_H-M_alt 'P 1 21 1'
_space_group_IT_number 4
_cell_length_a 6.910
_cell_length_b 7.928
_cell_length_c 7.061
_cell_angle_alpha 90.00
_cell_angle_beta 109.44
_cell_angle_gamma 90.00
loop_
_space_group_symop_operation_xyz
'x,y,z'
'-x,y+1/2,-z'
loop_
_atom_site_label
_atom_site_type_symbol
_atom_site_fract_x
_atom_site_fract_y
_atom_site_fract_z
K1 K 0.016 0.000 0.007
K2 K 0.479 0.761 0.994
U1 U 0.031 0.258 0.506
U2 U 0.477 0.504 0.496
O1 O 0.063 0.747 0.775
O2 O 0.124 0.256 0.787
O3 O 0.149 0.523 0.489
O4 O 0.235 0.898 0.497
O5 O 0.364 0.246 0.516
O6 O 0.383 0.501 0.214
O7 O 0.429 0.018 0.222
```

***

12.
A geometry-optimized KUO3 structure, computed with PBEsol.

Summary:
The size of the total moment is 1.001 μB per cell.

Structure (CIF):
```
data_KUO3
_chemical_formula_sum 'K1 U1 O3'
_space_group_name_H-M_alt 'P m -3 m'
_space_group_IT_number 221
_space_group_name_Hall '-P 4 2 3'
_cell_length_a 4.283
_cell_length_b 4.283
_cell_length_c 4.283
_cell_angle_alpha 90.00
_cell_angle_beta 90.00
_cell_angle_gamma 90.00
loop_
_atom_site_label
_atom_site_type_symbol
_atom_site_fract_x
_atom_site_fract_y
_atom_site_fract_z
K1 K 0.000 0.000 0.000
U1 U 0.500 0.500 0.500
O1 O 0.000 0.500 0.500
```

***

13.
A geometry-optimized K4UO5 structure, computed with PBEsol.

Summary:
The size of the total moment is 0.000 μB per cell.

Structure (CIF):
```
data_K4UO5
_chemical_formula_sum 'K8 U2 O10'
_space_group_name_H-M_alt 'P -1'
_space_group_IT_number 2
_cell_length_a 6.432
_cell_length_b 6.442
_cell_length_c 9.679
_cell_angle_alpha 101.57
_cell_angle_beta 108.82
_cell_angle_gamma 102.29
loop_
_space_group_symop_operation_xyz
'x,y,z'
'-x,-y,-z'
loop_
_atom_site_label
_atom_site_type_symbol
_atom_site_fract_x
_atom_site_fract_y
_atom_site_fract_z
K1 K 0.000 0.000 0.000
K2 K 0.000 0.500 0.500
K3 K 0.203 0.089 0.697
K4 K 0.402 0.205 0.403
K5 K 0.419 0.706 0.902
U1 U 0.190 0.601 0.196
O1 O 0.028 0.327 0.236
O2 O 0.145 0.396 0.965
O3 O 0.178 0.797 0.390
O4 O 0.358 0.875 0.158
O5 O 0.495 0.438 0.693
```

***

14.
A geometry-optimized KUVO6 structure, computed with PBEsol.

Summary:
The size of the total moment is 0.000 μB per cell.

Structure (CIF):
```
data_KUVO6
_chemical_formula_sum 'K4 U4 V4 O24'
_space_group_name_H-M_alt 'P 1 21/c 1'
_space_group_IT_number 14
_cell_length_a 6.754
_cell_length_b 8.290
_cell_length_c 10.421
_cell_angle_alpha 90.00
_cell_angle_beta 100.95
_cell_angle_gamma 90.00
loop_
_space_group_symop_operation_xyz
'x,y,z'
'-x,-y,-z'
'-x,y+1/2,-z+1/2'
'x,-y+1/2,z+1/2'
loop_
_atom_site_label
_atom_site_type_symbol
_atom_site_fract_x
_atom_site_fract_y
_atom_site_fract_z
K1 K 0.028 0.209 0.335
U1 U 0.488 0.021 0.180
V1 V 0.383 0.646 0.948
O1 O 0.145 0.627 0.950
O2 O 0.221 0.072 0.140
O3 O 0.244 0.031 0.776
O4 O 0.407 0.710 0.784
O5 O 0.457 0.655 0.506
O6 O 0.464 0.062 0.395
```

***

no.,ΔE_f (raw) (eV per atom)
1,-2.09
2,-2.91
3,-3.00
4,-2.23
5,-1.08
6,0.46
7,-0.44
8,-0.52
9,-0.16
10,-2.87
11,-2.85
12,-2.87
13,-2.29
14,-2.69